Entry 1:
Pr6GaRh3: optimized geometry, PBE-GGA.

Structure (CIF):
```
data_Pr6GaRh3
_chemical_formula_sum 'Pr12 Ga2 Rh6'
_space_group_name_H-M_alt 'P 1 21/m 1'
_space_group_IT_number 11
_cell_length_a 10.846
_cell_length_b 4.511
_cell_length_c 12.369
_cell_angle_alpha 90.00
_cell_angle_beta 111.31
_cell_angle_gamma 90.00
loop_
_space_group_symop_operation_xyz
'x,y,z'
'-x,-y,-z'
'-x,y+1/2,-z'
'x,-y+1/2,z'
loop_
_atom_site_label
_atom_site_fract_x
_atom_site_fract_y
_atom_site_fract_z
_atom_site_occupancy
Pr1 0.022 0.250 0.389 1
Pr2 0.090 0.250 0.928 1
Pr3 0.238 0.750 0.310 1
Pr4 0.338 0.750 0.799 1
Pr5 0.369 0.750 0.101 1
Pr6 0.382 0.250 0.566 1
Ga1 0.424 0.250 0.296 1
Rh1 0.096 0.250 0.173 1
Rh2 0.191 0.750 0.524 1
Rh3 0.390 0.250 0.956 1
```

DOS(E_F): 14.825 states/eV/cell
Raw total energy: -58.65 eV per formula unit
Total magnetization: 0.0 μB/f.u.


Entry 2:
PmDy2Er3Sb6: optimized geometry, PBE-GGA.

Structure (CIF):
```
data_PmDy2Er3Sb6
_chemical_formula_sum 'Pm2 Dy4 Er6 Sb12'
_space_group_name_H-M_alt 'C 1 2/m 1'
_space_group_IT_number 12
_cell_length_a 19.116
_cell_length_b 4.387
_cell_length_c 8.772
_cell_angle_alpha 90.00
_cell_angle_beta 103.20
_cell_angle_gamma 90.00
loop_
_space_group_symop_operation_xyz
'x,y,z'
'-x,-y,-z'
'-x,y,-z'
'x,-y,z'
'x+1/2,y+1/2,z'
'-x+1/2,-y+1/2,-z'
'-x+1/2,y+1/2,-z'
'x+1/2,-y+1/2,z'
loop_
_atom_site_label
_atom_site_fract_x
_atom_site_fract_y
_atom_site_fract_z
_atom_site_occupancy
Pm1 0.000 0.000 0.000 1
Dy1 0.167 0.500 0.334 1
Er1 0.000 0.000 0.500 1
Er2 0.166 0.500 0.833 1
Sb1 0.000 0.500 0.256 1
Sb2 0.166 0.000 0.584 1
Sb3 0.169 0.000 0.083 1
```

DOS(E_F): 3.809 states/eV/cell
Formation energy without anion corrections: -1120.1 meV/atom
Total magnetization: 0.0 μB/f.u.


- Number 1 is which compound?
  Pr6GaRh3


- What is the total magnetization in the second record?
  0.0 μB/f.u.


- The lowest DOS(E_F) belongs to which entry?
  PmDy2Er3Sb6